# 1
Computed, not measured: crystalline Li2Ta2S7 at its relaxed geometry at the GGA-PBE level of DFT.

Structure (POSCAR):
```
Li2Ta2S7
1.0
3.337 0.000 0.000
1.669 8.069 -0.809
1.669 3.113 7.488
S Li Ta
7 2 2
direct
0.120 0.161 0.599
0.620 0.461 0.298
0.880 0.401 0.839
0.127 0.759 0.987
0.873 0.013 0.241
0.380 0.702 0.539
0.500 0.905 0.095
0.259 0.435 0.047
0.741 0.953 0.565
0.000 0.683 0.317
0.500 0.381 0.619
```

The raw formation energy is -893 kJ/mol of formula units.



# 2
Computed, not measured: crystalline LiTa6S8 at its relaxed geometry at the GGA-PBE level of DFT.

Structure (POSCAR):
```
LiTa6S8
1.0
6.684 0.020 0.020
-0.189 6.682 0.020
-0.189 -0.195 6.679
Ta S Li
6 8 1
direct
0.796 0.597 0.454
0.403 0.546 0.204
0.597 0.454 0.796
0.546 0.204 0.403
0.204 0.403 0.546
0.454 0.796 0.597
0.863 0.266 0.604
0.217 0.217 0.217
0.266 0.604 0.863
0.137 0.734 0.396
0.783 0.783 0.783
0.396 0.137 0.734
0.604 0.863 0.266
0.734 0.396 0.137
0.000 0.000 0.000
```

The raw formation energy is -1290 kJ/mol of formula units.



Number 1: total magnetic moment 0.00 μB/cell. Number 2: total magnetic moment 0.00 μB/cell.